Entry 1:
The following is a DFT calculation (PBE) of a geometry-optimized AcScTe3Pd structure.

Summary:
Symmetry: P2_1/m
ΔE_f (raw), eV/atom: -1.24

```
AcScTe3Pd
1.0
8.0341 0.0000 0.0000
0.0000 4.3047 0.0000
-2.5279 0.0000 9.9572
Ac Sc Te Pd
2 2 6 2
direct
0.2209 0.2500 0.2960
0.7791 0.7500 0.7040
0.3094 0.7500 0.8265
0.6906 0.2500 0.1735
0.0777 0.2500 0.8630
0.2816 0.7500 0.5468
0.4261 0.7500 0.1330
0.5739 0.2500 0.8670
0.7184 0.2500 0.4532
0.9223 0.7500 0.1370
0.0822 0.2500 0.5988
0.9178 0.7500 0.4012
```

***

Entry 2:
The following is a DFT calculation (PBE) of a geometry-optimized AcScZnPd structure.

Summary:
Symmetry: F-43m
Formation energy, kcal/mol of atoms: -9.03

```
AcScZnPd
1.0
0.0000 3.6338 3.6338
3.6338 0.0000 3.6338
3.6338 3.6338 0.0000
Ac Sc Zn Pd
1 1 1 1
direct
0.0000 0.0000 0.0000
0.5000 0.5000 0.5000
0.2500 0.2500 0.2500
0.7500 0.7500 0.7500
```

***

Entry 3:
The following is a DFT calculation (PBE) of a geometry-optimized Ac2ScZn3Pd4 structure.

Summary:
Symmetry: P-4m2
Formation energy, kcal/mol of atoms: -15.24

```
Ac2ScZn3Pd4
1.0
4.3727 0.0000 0.0000
0.0000 4.3727 0.0000
0.0000 0.0000 11.1773
Ac Sc Zn Pd
2 1 3 4
direct
0.0000 0.5000 0.2325
0.5000 0.0000 0.7675
0.0000 0.0000 0.5000
0.0000 0.5000 0.8784
0.5000 0.0000 0.1216
0.5000 0.5000 0.5000
0.0000 0.0000 0.0000
0.0000 0.5000 0.6450
0.5000 0.0000 0.3550
0.5000 0.5000 0.0000
```

***

Entry 4:
The following is a DFT calculation (PBE) of a geometry-optimized Ac3ScZn2Pd9 structure.

Summary:
Symmetry: P-3m1
Formation energy, kcal/mol of atoms: -10.73

```
Ac3ScZn2Pd9
1.0
7.3536 0.0000 0.0000
-3.6768 6.3684 0.0000
0.0000 0.0000 7.2085
Ac Sc Zn Pd
3 1 2 9
direct
0.0000 0.0000 0.0000
0.3333 0.6667 0.6741
0.6667 0.3333 0.3259
0.0000 0.0000 0.5000
0.3333 0.6667 0.1529
0.6667 0.3333 0.8471
0.0000 0.5000 0.0000
0.1731 0.3461 0.3356
0.1731 0.8269 0.3356
0.3461 0.1731 0.6644
0.5000 0.0000 0.0000
0.5000 0.5000 0.0000
0.6539 0.8269 0.3356
0.8269 0.1731 0.6644
0.8269 0.6539 0.6644
```

***

Entry 5:
The following is a DFT calculation (PBE) of a geometry-optimized AcPd3Se structure.

Summary:
Symmetry: Pm-3m
ΔE_f (raw), eV/atom: -0.55

```
AcPd3Se
1.0
4.8472 0.0000 0.0000
0.0000 4.8472 0.0000
0.0000 0.0000 4.8472
Ac Pd Se
1 3 1
direct
0.0000 0.0000 0.0000
0.0000 0.5000 0.5000
0.5000 0.0000 0.5000
0.5000 0.5000 0.0000
0.5000 0.5000 0.5000
```

***

Entry 6:
The following is a DFT calculation (PBE) of a geometry-optimized AcPdSe structure.

Summary:
Symmetry: Cm
ΔE_f (raw), eV/atom: -1.23

```
AcPdSe
1.0
5.3981 -2.1345 0.0000
5.3981 2.1345 0.0000
-3.9557 0.0000 7.5781
Ac Pd Se
2 2 2
direct
0.0000 0.0000 0.0000
0.0874 0.0874 0.5800
0.4164 0.4164 0.6924
0.7593 0.7593 0.5051
0.5008 0.5008 0.2675
0.6835 0.6835 0.9195
```